# 1
## KAcZnPb (PBE)

Data for an optimized crystal structure of KAcZnPb.

Calculated values
**Symmetry**: F-43m
**ΔE_f**: -0.173 eV per atom
**Crystal system**: cubic

Cell lengths 5.756, 5.756, 5.756 Å; angles 60.00, 60.00, 60.00 degrees
Element x y z (fractional)
K1 0.000 0.000 0.000
Ac1 0.500 0.500 0.500
Zn1 0.250 0.250 0.250
Pb1 0.750 0.750 0.750



# 2
## FeBiIrS2 (PBE)

Data for an optimized crystal structure of FeBiIrS2.

Calculated values
**Symmetry**: P4/mmm
**Raw formation energy**: 0.571 eV/atom
**Crystal system**: tetragonal

Cell lengths 4.667, 4.667, 4.781 Å; angles 90.00, 90.00, 90.00 degrees
Element x y z (fractional)
Fe1 0.000 0.000 0.000
Bi1 0.500 0.500 0.000
Ir1 0.000 0.000 0.500
S1 0.000 0.500 0.500
S2 0.500 0.000 0.500



# 3
## Ho12Er6In (PBE)

Data for an optimized crystal structure of Ho12Er6In.

Calculated values
**Symmetry**: R-3
**ΔE_f**: 0.077 eV per atom
**Crystal system**: trigonal

Cell lengths 8.390, 8.390, 8.390 Å; angles 88.73, 88.73, 88.73 degrees
Element x y z (fractional)
Ho1 0.039 0.280 0.934
Ho2 0.066 0.961 0.720
Ho3 0.137 0.317 0.488
Ho4 0.280 0.934 0.039
Ho5 0.317 0.488 0.137
Ho6 0.488 0.137 0.317
Ho7 0.512 0.863 0.683
Ho8 0.683 0.512 0.863
Ho9 0.720 0.066 0.961
Ho10 0.863 0.683 0.512
Ho11 0.934 0.039 0.280
Ho12 0.961 0.720 0.066
Er1 0.206 0.596 0.758
Er2 0.242 0.794 0.404
Er3 0.404 0.242 0.794
Er4 0.596 0.758 0.206
Er5 0.758 0.206 0.596
Er6 0.794 0.404 0.242
In1 0.500 0.500 0.500



# 4
## CsTl3P (PBE)

Data for an optimized crystal structure of CsTl3P.

Calculated values
**Relative energy among the computed polymorphs**: 0.0 meV/atom
**Symmetry**: Pm-3m
**ΔE_f**: 0.192 eV per atom
**Crystal system**: cubic

Cell lengths 5.776, 5.776, 5.776 Å; angles 90.00, 90.00, 90.00 degrees
Element x y z (fractional)
Cs1 0.000 0.000 0.000
Tl1 0.000 0.500 0.500
Tl2 0.500 0.000 0.500
Tl3 0.500 0.500 0.000
P1 0.500 0.500 0.500



# 5
## LaRe2AsS (PBE)

Data for an optimized crystal structure of LaRe2AsS.

Calculated values
**Symmetry**: P4/mmm
**Raw formation energy**: 2.730 eV/atom
**Crystal system**: tetragonal

Cell lengths 4.981, 4.981, 5.601 Å; angles 90.00, 90.00, 90.00 degrees
Element x y z (fractional)
La1 0.000 0.000 0.000
Re1 0.000 0.500 0.000
Re2 0.500 0.000 0.000
As1 0.000 0.000 0.500
S1 0.500 0.500 0.500



# 6
## La2Ir2Rh (PBE)

Data for an optimized crystal structure of La2Ir2Rh.

Calculated values
**Relative energy among the computed polymorphs**: 149.7 meV/atom
**Symmetry**: I4/mmm
**ΔE_f**: -0.354 eV per atom
**Crystal system**: tetragonal

Cell lengths 8.760, 8.760, 8.760 Å; angles 155.64, 155.64, 34.72 degrees
Element x y z (fractional)
La1 0.103 0.103 0.000
La2 0.897 0.897 0.000
Ir1 0.250 0.750 0.500
Ir2 0.750 0.250 0.500
Rh1 0.500 0.500 0.000



# 7
## LiAlTl2Br6 (PBE)

Data for an optimized crystal structure of LiAlTl2Br6.

Calculated values
**Symmetry**: P-3m1
**Raw formation energy**: -1.080 eV/atom
**Crystal system**: trigonal

Cell lengths 7.422, 7.422, 6.560 Å; angles 90.00, 90.00, 120.00 degrees
Element x y z (fractional)
Li1 0.000 0.000 0.000
Al1 0.000 0.000 0.500
Tl1 0.333 0.667 0.662
Tl2 0.667 0.333 0.338
Br1 0.159 0.318 0.273
Br2 0.159 0.841 0.273
Br3 0.318 0.159 0.727
Br4 0.682 0.841 0.273
Br5 0.841 0.159 0.727
Br6 0.841 0.682 0.727



# 8
## CaHg6 (PBE)

Data for an optimized crystal structure of CaHg6.

Calculated values
**Relative energy among the computed polymorphs**: 0.0 meV/atom
**Symmetry**: R-3m
**ΔE_f**: -0.207 eV per atom
**Crystal system**: trigonal

Cell lengths 8.257, 8.257, 8.257 Å; angles 36.92, 36.92, 36.92 degrees
Element x y z (fractional)
Ca1 0.000 0.000 0.000
Hg1 0.140 0.140 0.140
Hg2 0.277 0.277 0.277
Hg3 0.423 0.423 0.423
Hg4 0.577 0.577 0.577
Hg5 0.723 0.723 0.723
Hg6 0.860 0.860 0.860



# 9
## RbPu2ZnO8 (PBE)

Data for an optimized crystal structure of RbPu2ZnO8.

Calculated values
**Symmetry**: I-4m2
**Raw formation energy**: -1.508 eV/atom
**Crystal system**: tetragonal

Cell lengths 6.507, 6.507, 6.507 Å; angles 112.28, 112.28, 103.99 degrees
Element x y z (fractional)
Rb1 0.000 0.000 0.000
Pu1 0.250 0.750 0.500
Pu2 0.500 0.500 0.000
Zn1 0.750 0.250 0.500
O1 0.070 0.407 0.337
O2 0.070 0.733 0.663
O3 0.127 0.346 0.781
O4 0.267 0.930 0.337
O5 0.565 0.346 0.219
O6 0.593 0.930 0.663
O7 0.654 0.435 0.781
O8 0.654 0.873 0.219



# 10
## BaBe2CSe (PBE)

Data for an optimized crystal structure of BaBe2CSe.

Calculated values
**Symmetry**: P4/mmm
**Raw formation energy**: 1.236 eV/atom
**Crystal system**: tetragonal

Cell lengths 4.405, 4.405, 5.177 Å; angles 90.00, 90.00, 90.00 degrees
Element x y z (fractional)
Ba1 0.000 0.000 0.000
Be1 0.000 0.500 0.500
Be2 0.500 0.000 0.500
C1 0.500 0.500 0.000
Se1 0.500 0.500 0.500



# 11
## Sr2MgGaTe5 (PBE)

Data for an optimized crystal structure of Sr2MgGaTe5.

Calculated values
**Symmetry**: Cmc2_1
**Raw formation energy**: -0.973 eV/atom
**Crystal system**: orthorhombic

Cell lengths 10.413, 10.413, 13.338 Å; angles 90.00, 90.00, 156.03 degrees
Element x y z (fractional)
Sr1 0.121 0.879 0.500
Sr2 0.121 0.879 0.872
Sr3 0.879 0.121 0.000
Sr4 0.879 0.121 0.372
Mg1 0.220 0.780 0.212
Mg2 0.780 0.220 0.712
Ga1 0.430 0.570 0.624
Ga2 0.570 0.430 0.124
Te1 0.054 0.946 0.241
Te2 0.291 0.709 0.860
Te3 0.305 0.695 0.556
Te4 0.359 0.641 0.189
Te5 0.496 0.504 0.456
Te6 0.504 0.496 0.956
Te7 0.641 0.359 0.689
Te8 0.695 0.305 0.056
Te9 0.709 0.291 0.360
Te10 0.946 0.054 0.741



# 12
## Ca2BeO (PBE)

Data for an optimized crystal structure of Ca2BeO.

Calculated values
**Relative energy among the computed polymorphs**: 0.0 meV/atom
**Symmetry**: I-42d
**Raw formation energy**: -0.983 eV/atom
**Crystal system**: tetragonal

Cell lengths 6.256, 6.256, 6.256 Å; angles 116.08, 116.08, 96.93 degrees
Element x y z (fractional)
Ca1 0.034 0.125 0.409
Ca2 0.375 0.966 0.091
Ca3 0.716 0.625 0.591
Ca4 0.875 0.284 0.909
Be1 0.250 0.750 0.500
Be2 0.500 0.500 0.000
O1 0.000 0.000 0.000
O2 0.750 0.250 0.500



# 13
## KNi3Cl (PBE)

Data for an optimized crystal structure of KNi3Cl.

Calculated values
**Relative energy among the computed polymorphs**: 0.0 meV/atom
**Symmetry**: Pm-3m
**Raw formation energy**: 0.649 eV/atom
**Crystal system**: cubic

Cell lengths 4.372, 4.372, 4.372 Å; angles 90.00, 90.00, 90.00 degrees
Element x y z (fractional)
K1 0.000 0.000 0.000
Ni1 0.000 0.500 0.500
Ni2 0.500 0.000 0.500
Ni3 0.500 0.500 0.000
Cl1 0.500 0.500 0.500



# 14
## TeP3 (PBE)

Data for an optimized crystal structure of TeP3.

Calculated values
**Relative energy among the computed polymorphs**: 25.2 meV/atom
**Symmetry**: P1
**Raw formation energy**: 0.224 eV/atom
**Crystal system**: triclinic

Cell lengths 3.331, 5.285, 6.723 Å; angles 90.33, 104.33, 98.84 degrees
Element x y z (fractional)
Te1 0.000 0.000 0.000
P1 0.082 0.709 0.304
P2 0.720 0.911 0.484
P3 0.780 0.644 0.736



# 15
## LiMgBe (PBE)

Data for an optimized crystal structure of LiMgBe.

Calculated values
**Relative energy among the computed polymorphs**: 19.4 meV/atom
**Symmetry**: Imma
**ΔE_f**: 0.151 eV per atom
**Crystal system**: orthorhombic

Cell lengths 5.026, 5.026, 5.026 Å; angles 122.29, 119.97, 88.07 degrees
Element x y z (fractional)
Li1 0.000 0.000 0.000
Li2 0.500 0.000 0.500
Mg1 0.370 0.620 0.750
Mg2 0.630 0.380 0.250
Be1 0.000 0.000 0.500
Be2 0.000 0.500 0.000



# 16
## RbCo3Ru (PBE)

Data for an optimized crystal structure of RbCo3Ru.

Calculated values
**Relative energy among the computed polymorphs**: 1452.8 meV/atom
**Symmetry**: Pm-3m
**ΔE_f**: 2.802 eV per atom
**Crystal system**: cubic

Cell lengths 4.448, 4.448, 4.448 Å; angles 90.00, 90.00, 90.00 degrees
Element x y z (fractional)
Rb1 0.000 0.000 0.000
Co1 0.000 0.000 0.500
Co2 0.000 0.500 0.000
Co3 0.500 0.000 0.000
Ru1 0.500 0.500 0.500



# 17
## SrCdHg2Pb (PBE)

Data for an optimized crystal structure of SrCdHg2Pb.

Calculated values
**Symmetry**: Pmma
**ΔE_f**: -0.264 eV per atom
**Crystal system**: orthorhombic

Cell lengths 6.307, 6.962, 6.685 Å; angles 90.00, 90.00, 90.00 degrees
Element x y z (fractional)
Sr1 0.250 0.000 0.234
Sr2 0.750 0.000 0.766
Cd1 0.000 0.500 0.000
Cd2 0.500 0.500 0.000
Hg1 0.250 0.214 0.751
Hg2 0.250 0.786 0.751
Hg3 0.750 0.214 0.249
Hg4 0.750 0.786 0.249
Pb1 0.250 0.500 0.401
Pb2 0.750 0.500 0.599



# 18
## Er3MgN4 (PBE)

Data for an optimized crystal structure of Er3MgN4.

Calculated values
**Symmetry**: Pm-3m
**Raw formation energy**: -1.342 eV/atom
**Crystal system**: cubic

Cell lengths 4.773, 4.773, 4.773 Å; angles 90.00, 90.00, 90.00 degrees
Element x y z (fractional)
Er1 0.000 0.000 0.500
Er2 0.000 0.500 0.000
Er3 0.500 0.000 0.000
Mg1 0.500 0.500 0.500
N1 0.000 0.000 0.000
N2 0.000 0.500 0.500
N3 0.500 0.000 0.500
N4 0.500 0.500 0.000



# 19
## LiPmPt2 (PBE)

Data for an optimized crystal structure of LiPmPt2.

Calculated values
**Relative energy among the computed polymorphs**: 39.9 meV/atom
**Symmetry**: P4/mmm
**ΔE_f**: -0.849 eV per atom
**Crystal system**: tetragonal

Cell lengths 3.562, 3.562, 5.928 Å; angles 90.00, 90.00, 90.00 degrees
Element x y z (fractional)
Li1 0.000 0.000 0.000
Pm1 0.000 0.000 0.500
Pt1 0.500 0.500 0.228
Pt2 0.500 0.500 0.772



# 20
## Zr3Fe8Co (PBE)

Data for an optimized crystal structure of Zr3Fe8Co.

Calculated values
**Symmetry**: R3m
**ΔE_f**: -0.185 eV per atom
**Crystal system**: trigonal

Cell lengths 8.491, 8.491, 8.491 Å; angles 33.53, 33.53, 33.53 degrees
Element x y z (fractional)
Zr1 0.000 0.000 0.000
Zr2 0.129 0.129 0.129
Zr3 0.512 0.512 0.512
Fe1 0.065 0.567 0.567
Fe2 0.069 0.069 0.567
Fe3 0.069 0.567 0.069
Fe4 0.317 0.317 0.317
Fe5 0.567 0.065 0.567
Fe6 0.567 0.069 0.069
Fe7 0.567 0.567 0.065
Fe8 0.817 0.817 0.817
Co1 0.632 0.632 0.632